Entry 1:
Here is TbCoP2 after structural relaxation from Alexandria via LeMat-Bulk. Energies are from PBE.

It has space group I-4m2 (No. 119), with a = 3.812 Å, b = 3.812 Å, c = 9.176 Å, α = 90.00°, β = 90.00° and γ = 90.00°. Symmetry generates all atoms from Tb at (0.000, 0.000, 0.000), Co at (0.000, 0.500, 0.750) and P at (0.000, 0.000, 0.369).

As for the size of the total moment: 0.3 Bohr magnetons per cell. As for the theoretical density: 7.0 g cm⁻³. The energy of formation is -0.98 eV/atom.

---

Entry 2:
Here is MgTeCl2 after structural relaxation from Alexandria via LeMat-Bulk. Energies are from PBE.

It has space group Fm-3m (No. 225), with a = 7.340 Å, b = 7.340 Å, c = 7.340 Å, α = 90.00°, β = 90.00° and γ = 90.00°. Symmetry generates all atoms from Mg at (0.000, 0.000, 0.000), Te at (0.000, 0.000, 0.500) and Cl at (0.250, 0.250, 0.250).

As for the size of the total moment: 7.5 Bohr magnetons per cell. As for the theoretical density: 3.7 g cm⁻³. The raw formation energy is -0.17 eV per atom.

---

Entry 3:
Here is Te5As after structural relaxation from Alexandria via LeMat-Bulk. Energies are from PBE.

It has space group P-62m (No. 189), with a = 6.9117 Å, b = 6.9117 Å, c = 4.2855 Å, α = 90.00°, β = 90.00° and γ = 120.00°. Symmetry generates all atoms from Te at (0.0000, 0.6968, 0.0000), Te at (0.3333, 0.6667, 0.5000) and As at (0.0000, 0.0000, 0.5000).

As for the size of the total moment: 0.0 Bohr magnetons per cell. As for the theoretical density: 6.7 g cm⁻³. The raw formation energy is 0.22 eV per atom.

---

Entry 4:
Here is TiAs2SeF after structural relaxation from Alexandria via LeMat-Bulk. Energies are from PBE.

It has space group P4/mmm (No. 123), with a = 4.220 Å, b = 4.220 Å, c = 5.236 Å, α = 90.00°, β = 90.00° and γ = 90.00°. Symmetry generates all atoms from Ti at (0.000, 0.000, 0.000), As at (0.000, 0.500, 0.500), Se at (0.500, 0.500, 0.000) and F at (0.500, 0.500, 0.500).

As for the size of the total moment: 0.0 Bohr magnetons per cell. As for the theoretical density: 5.3 g cm⁻³. The raw formation energy is 0.06 eV per atom.

---

Entry 5:
Here is AsPt2Pb after structural relaxation from Alexandria via LeMat-Bulk. Energies are from PBE.

It has space group C2/m (No. 12), with a = 7.298 Å, b = 4.221 Å, c = 5.947 Å, α = 90.00°, β = 113.27° and γ = 90.00°. Symmetry generates all atoms from As at (0.000, 0.000, 0.000), Pt at (0.213, 0.500, 0.142) and Pb at (0.000, 0.500, 0.500).

As for the size of the total moment: 0.0 Bohr magnetons per cell. As for the theoretical density: 13.3 g cm⁻³. The energy of formation is -0.13 eV/atom.

---

Entry 6:
Here is AcTbPd6 after structural relaxation from Alexandria via LeMat-Bulk. Energies are from PBE.

It has space group P4/mmm (No. 123), with a = 4.245 Å, b = 4.245 Å, c = 8.379 Å, α = 90.00°, β = 90.00° and γ = 90.00°. Symmetry generates all atoms from Ac at (0.000, 0.000, 0.000), Tb at (0.000, 0.000, 0.500), Pd at (0.000, 0.500, 0.262), Pd at (0.500, 0.500, 0.000) and Pd at (0.500, 0.500, 0.500).

As for the size of the total moment: 0.0 Bohr magnetons per cell. As for the theoretical density: 11.3 g cm⁻³. The energy of formation is -0.79 eV/atom.

---

Electronic total energy (eV/atom)
-6.618 -2.277 -3.172 -4.454 -5.241 -5.774